Below is crystalline LiCdSn4 at its relaxed geometry, with properties calculated at the PBE-GGA level.

Structure (extended XYZ):
```
6
Lattice="-3.7719 2.2860 -1.2852 -0.0464 -5.7732 -2.9655 -0.2477 -0.8211 6.4336" Properties=species:S:1:pos:R:3 pbc="T T T"
Cd -0.0232 -2.8866 -1.4827
Sn -2.9207 -3.5761 -3.0023
Sn -1.0843 -2.2335 2.3359
Sn -2.9817 -2.0749 -0.1531
Sn -1.1454 -0.7323 5.1851
Li -2.0098 0.7324 2.5742
```

Summary:
**Space-group type**: C2/m

***

Below is crystalline LiCd2Sn at its relaxed geometry, with properties calculated at the PBE-GGA level.

Structure (extended XYZ):
```
4
Lattice="4.9168 0.0000 0.0000 2.4584 4.2580 0.0000 2.4584 1.4193 4.2685" Properties=species:S:1:pos:R:3 pbc="T T T"
Cd 2.4584 1.4193 1.0337
Cd 2.4584 1.4193 4.1869
Sn 4.9168 2.8387 2.2115
Li 7.3751 4.2580 3.2393
```

Summary:
**Space-group type**: R3m

***

Number 1: DFT total energy -19.21 eV for the cell shown. Number 2: DFT total energy -8.15 eV for the cell shown.